No. 1
# Te3Os

A relaxed Te3Os crystal (GGA-PBEsol, Alexandria).

Formation energy from raw total energies   0.34 eV/atom

Cell lengths 3.133, 3.133, 9.742 Å; angles 90.00, 90.00, 90.00 degrees
Fractional coordinates of all 4 atoms:
Te1 0.500 0.500 0.822
Te2 0.000 0.000 0.500
Te3 0.500 0.500 0.178
Os1 0.000 0.000 0.000

***

No. 2
# YGaSi2

A relaxed YGaSi2 crystal (GGA-PBEsol, Alexandria).

Formation energy from raw total energies   -0.24 eV/atom

Cell lengths 5.913, 5.913, 5.913 Å; angles 104.33, 104.33, 120.32 degrees
Fractional coordinates of all 8 atoms:
Si1 0.125 0.171 0.546
Si2 0.421 0.875 0.046
Si3 0.625 0.579 0.454
Si4 0.829 0.375 0.954
Ga1 0.500 0.500 0.000
Ga2 0.750 0.250 0.500
Y1 0.250 0.750 0.500
Y2 0.000 0.000 0.000

***

No. 3
# KBeS2

A relaxed KBeS2 crystal (GGA-PBEsol, Alexandria).

Formation energy from raw total energies   -0.78 eV/atom

Cell lengths 5.523, 5.523, 7.207 Å; angles 112.53, 112.53, 90.00 degrees
Fractional coordinates of all 8 atoms:
Be1 0.500 0.500 0.000
Be2 0.750 0.250 0.500
K1 0.250 0.750 0.500
K2 0.000 0.000 0.000
S1 0.125 0.375 0.750
S2 0.625 0.875 0.250
S3 0.625 0.375 0.750
S4 0.625 0.375 0.250

***

No. 4
# RbSr2SnAs

A relaxed RbSr2SnAs crystal (GGA-PBEsol, Alexandria).

Energy of formation   0.74 eV/atom

Cell lengths 5.479, 6.021, 6.021 Å; angles 90.00, 90.00, 90.00 degrees
Fractional coordinates of all 5 atoms:
Sr1 0.000 0.500 0.000
Sr2 0.000 0.000 0.500
As1 0.500 0.000 0.000
Sn1 0.500 0.500 0.500
Rb1 0.000 0.000 0.000

***

No. 5
# RhSeSCl2

A relaxed RhSeSCl2 crystal (GGA-PBEsol, Alexandria).

Formation energy from raw total energies   0.24 eV/atom

Cell lengths 4.564, 4.625, 4.625 Å; angles 90.00, 90.00, 90.00 degrees
Fractional coordinates of all 5 atoms:
S1 0.500 0.000 0.000
Cl1 0.000 0.000 0.500
Cl2 0.000 0.500 0.000
Rh1 0.000 0.000 0.000
Se1 0.500 0.500 0.500

***

No. 6
# NaYN2

A relaxed NaYN2 crystal (GGA-PBEsol, Alexandria).

Formation energy from raw total energies   -0.15 eV/atom
Polymorph energy (0 for the lowest one)   0 kJ/mol of formula units

Cell lengths 4.093, 4.093, 4.093 Å; angles 60.00, 60.00, 60.00 degrees
Last column: magnetic moment on the atom in μB.
Fractional coordinates of all 4 atoms:
N1 0.250 0.250 0.250  0.63
N2 0.750 0.750 0.750  0.63
Na1 0.000 0.000 0.000  -0.01
Y1 0.500 0.500 0.500  0.08

***

What did we get for size of the total moment? Answer: 0.00 0.00 0.00 0.00 0.00 1.80 μB per formula unit, in the order shown.